# Na3InP2O8, single point on PBEsol structure, DFT meta-GGA SCAN
# Formation energy (no corrections) (eV/atom): -2.41
# Uncorrected energy (eV/atom): -10.747
# Size of the total moment (μB/atom): 0.00
# V (Å³/f.u.): 167.0
data_Na3InP2O8
_chemical_formula_sum 'Na6 In2 P4 O16'
_cell_length_a 8.670
_cell_length_b 5.468
_cell_length_c 7.046
_cell_angle_alpha 90.00
_cell_angle_beta 90.17
_cell_angle_gamma 90.00
_space_group_name_H-M_alt 'C 1 2/m 1'
_space_group_IT_number 12
loop_
_space_group_symop_operation_xyz
'x,y,z'
'-x,-y,-z'
'-x,y,-z'
'x,-y,z'
'x+1/2,y+1/2,z'
'-x+1/2,-y+1/2,-z'
'-x+1/2,y+1/2,-z'
'x+1/2,-y+1/2,z'
loop_
_atom_site_label
_atom_site_fract_x
_atom_site_fract_y
_atom_site_fract_z
Na1 0.000 0.000 0.000
Na2 0.189 0.500 0.215
In1 0.000 0.000 0.500
P1 0.154 0.500 0.722
O1 0.045 0.269 0.721
O2 0.245 0.000 0.458
O3 0.249 0.000 0.099

# Na3In2P3O12, single point on PBEsol structure, DFT meta-GGA SCAN
# Formation energy (no corrections) (eV/atom): -2.39
# Uncorrected energy (eV/atom): -11.660
# Size of the total moment (μB/atom): 0.00
# V (Å³/f.u.): 241.1
data_Na3In2P3O12
_chemical_formula_sum 'Na12 In8 P12 O48'
_cell_length_a 12.469
_cell_length_b 12.799
_cell_length_c 6.620
_cell_angle_alpha 90.00
_cell_angle_beta 114.13
_cell_angle_gamma 90.00
_space_group_name_H-M_alt 'C 1 2/c 1'
_space_group_IT_number 15
loop_
_space_group_symop_operation_xyz
'x,y,z'
'-x,-y,-z'
'-x,y,-z+1/2'
'x,-y,z+1/2'
'x+1/2,y+1/2,z'
'-x+1/2,-y+1/2,-z'
'-x+1/2,y+1/2,-z+1/2'
'x+1/2,-y+1/2,z+1/2'
loop_
_atom_site_label
_atom_site_fract_x
_atom_site_fract_y
_atom_site_fract_z
Na1 0.000 0.000 0.000
Na2 0.000 0.224 0.250
Na3 0.000 0.482 0.750
In1 0.227 0.344 0.155
P1 0.000 0.226 0.750
P2 0.239 0.398 0.634
O1 0.050 0.297 0.957
O2 0.089 0.151 0.718
O3 0.136 0.077 0.331
O4 0.165 0.499 0.622
O5 0.171 0.336 0.416
O6 0.236 0.329 0.828

# Rb2Na3InO4, single point on PBEsol structure, DFT meta-GGA SCAN
# Formation energy (no corrections) (eV/atom): -1.54
# Uncorrected energy (eV/atom): -12.787
# Size of the total moment (μB/atom): 0.00
# V (Å³/f.u.): 174.2
data_Rb2Na3InO4
_chemical_formula_sum 'Rb8 Na12 In4 O16'
_cell_length_a 9.592
_cell_length_b 9.737
_cell_length_c 7.459
_cell_angle_alpha 90.00
_cell_angle_beta 90.00
_cell_angle_gamma 90.00
_space_group_name_H-M_alt 'P n n m'
_space_group_IT_number 58
loop_
_space_group_symop_operation_xyz
'x,y,z'
'-x,-y,-z'
'-x,-y,z'
'x,y,-z'
'x+1/2,-y+1/2,-z+1/2'
'-x+1/2,y+1/2,z+1/2'
'-x+1/2,y+1/2,-z+1/2'
'x+1/2,-y+1/2,z+1/2'
loop_
_atom_site_label
_atom_site_fract_x
_atom_site_fract_y
_atom_site_fract_z
Rb1 0.000 0.000 0.245
Rb2 0.231 0.241 0.500
Na1 0.018 0.647 0.247
Na2 0.235 0.581 0.500
In1 0.225 0.373 0.000
O1 0.064 0.225 0.000
O2 0.079 0.776 0.500
O3 0.194 0.482 0.235

# Na4Sc3InSi8O24, single point on PBEsol structure, DFT meta-GGA SCAN
# Formation energy (no corrections) (eV/atom): -3.05
# Uncorrected energy (eV/atom): -11.118
# Size of the total moment (μB/atom): 0.00
# V (Å³/f.u.): 461.3
data_Na4Sc3InSi8O24
_chemical_formula_sum 'Na4 Sc3 In1 Si8 O24'
_cell_length_a 5.373
_cell_length_b 9.078
_cell_length_c 9.764
_cell_angle_alpha 90.00
_cell_angle_beta 104.40
_cell_angle_gamma 90.00
_space_group_name_H-M_alt 'P 1 2 1'
_space_group_IT_number 3
loop_
_space_group_symop_operation_xyz
'x,y,z'
'-x,y,-z'
loop_
_atom_site_label
_atom_site_fract_x
_atom_site_fract_y
_atom_site_fract_z
Na1 0.000 0.000 0.000
Na2 0.000 0.101 0.500
Na3 0.500 0.501 0.500
Na4 0.500 0.606 0.000
Sc1 0.000 0.409 0.000
Sc2 0.000 0.698 0.500
Sc3 0.500 0.905 0.500
In1 0.500 0.199 0.000
Si1 0.203 0.715 0.210
Si2 0.204 0.389 0.708
Si3 0.295 0.214 0.291
Si4 0.296 0.889 0.790
O1 0.078 0.308 0.352
O2 0.083 0.792 0.850
O3 0.197 0.551 0.639
O4 0.199 0.554 0.140
O5 0.214 0.223 0.118
O6 0.223 0.879 0.617
O7 0.276 0.385 0.882
O8 0.278 0.723 0.382
O9 0.288 0.051 0.853
O10 0.305 0.053 0.361
O11 0.418 0.811 0.149
O12 0.423 0.296 0.651

# NaInTe2O6, single point on PBEsol structure, DFT meta-GGA SCAN
# Formation energy (no corrections) (eV/atom): -1.47
# Uncorrected energy (eV/atom): -16.418
# Size of the total moment (μB/atom): 0.00
# V (Å³/f.u.): 147.6
data_NaInTe2O6
_chemical_formula_sum 'Na8 In8 Te16 O48'
_cell_length_a 8.060
_cell_length_b 13.612
_cell_length_c 10.763
_cell_angle_alpha 90.00
_cell_angle_beta 90.00
_cell_angle_gamma 90.00
_space_group_name_H-M_alt 'P b c a'
_space_group_IT_number 61
loop_
_space_group_symop_operation_xyz
'x,y,z'
'-x,-y,-z'
'-x+1/2,-y,z+1/2'
'x+1/2,y,-z+1/2'
'x+1/2,-y+1/2,-z'
'-x+1/2,y+1/2,z'
'-x,y+1/2,-z+1/2'
'x,-y+1/2,z+1/2'
loop_
_atom_site_label
_atom_site_fract_x
_atom_site_fract_y
_atom_site_fract_z
Na1 0.114 0.138 0.235
In1 0.210 0.015 0.498
Te1 0.039 0.086 0.778
Te2 0.145 0.746 0.485
O1 0.002 0.514 0.873
O2 0.088 0.731 0.818
O3 0.102 0.533 0.364
O4 0.157 0.170 0.453
O5 0.189 0.563 0.671
O6 0.235 0.138 0.026

# NaIn2OsRh, single point on PBEsol structure, DFT meta-GGA SCAN
# Uncorrected energy (eV/atom): -34.901
# Size of the total moment (μB/atom): 0.00
# Formation energy (meV per atom): 427
# V (Å³/f.u.): 124.3
data_NaIn2OsRh
_chemical_formula_sum 'Na1 In2 Os1 Rh1'
_cell_length_a 5.114
_cell_length_b 5.114
_cell_length_c 4.751
_cell_angle_alpha 90.00
_cell_angle_beta 90.00
_cell_angle_gamma 90.00
_space_group_name_H-M_alt 'P 4/m m m'
_space_group_IT_number 123
_space_group_name_Hall '-P 4 2'
loop_
_atom_site_label
_atom_site_fract_x
_atom_site_fract_y
_atom_site_fract_z
Na1 0.000 0.000 0.000
In1 0.000 0.500 0.500
Os1 0.500 0.500 0.500
Rh1 0.500 0.500 0.000

# NaIn2PRh, single point on PBEsol structure, DFT meta-GGA SCAN
# Uncorrected energy (eV/atom): -22.341
# Size of the total moment (μB/atom): 0.19
# Formation energy (meV per atom): 690
# V (Å³/f.u.): 118.4
data_NaIn2PRh
_chemical_formula_sum 'Na1 In2 P1 Rh1'
_cell_length_a 4.969
_cell_length_b 4.969
_cell_length_c 4.794
_cell_angle_alpha 90.00
_cell_angle_beta 90.00
_cell_angle_gamma 90.00
_space_group_name_H-M_alt 'P 4/m m m'
_space_group_IT_number 123
_space_group_name_Hall '-P 4 2'
loop_
_atom_site_label
_atom_site_fract_x
_atom_site_fract_y
_atom_site_fract_z
Na1 0.000 0.000 0.000
In1 0.000 0.500 0.500
P1 0.000 0.000 0.500
Rh1 0.500 0.500 0.000

# Na2InPb, single point on PBEsol structure, DFT meta-GGA SCAN
# Uncorrected energy (eV/atom): -29.614
# Size of the total moment (μB/atom): 0.00
# Formation energy (meV per atom): -215
# V (Å³/f.u.): 103.7
data_Na2InPb
_chemical_formula_sum 'Na8 In4 Pb4'
_cell_length_a 7.458
_cell_length_b 7.458
_cell_length_c 7.458
_cell_angle_alpha 90.00
_cell_angle_beta 90.00
_cell_angle_gamma 90.00
_space_group_name_H-M_alt 'F m -3 m'
_space_group_IT_number 225
_space_group_name_Hall '-F 4 2 3'
loop_
_atom_site_label
_atom_site_fract_x
_atom_site_fract_y
_atom_site_fract_z
Na1 0.250 0.250 0.250
In1 0.000 0.000 0.000
Pb1 0.000 0.000 0.500

# Na3InPb, single point on PBEsol structure, DFT meta-GGA SCAN
# Uncorrected energy (eV/atom): -24.211
# Size of the total moment (μB/atom): 0.00
# Formation energy (meV per atom): 151
# V (Å³/f.u.): 194.8
data_Na3InPb
_chemical_formula_sum 'Na3 In1 Pb1'
_cell_length_a 5.797
_cell_length_b 5.797
_cell_length_c 5.797
_cell_angle_alpha 90.00
_cell_angle_beta 90.00
_cell_angle_gamma 90.00
_space_group_name_H-M_alt 'P m -3 m'
_space_group_IT_number 221
_space_group_name_Hall '-P 4 2 3'
loop_
_atom_site_label
_atom_site_fract_x
_atom_site_fract_y
_atom_site_fract_z
Na1 0.000 0.000 0.500
In1 0.500 0.500 0.500
Pb1 0.000 0.000 0.000

# NaIn2PdPb, single point on PBEsol structure, DFT meta-GGA SCAN
# Uncorrected energy (eV/atom): -36.010
# Size of the total moment (μB/atom): 0.00
# Formation energy (meV per atom): -102
# V (Å³/f.u.): 141.9
data_NaIn2PdPb
_chemical_formula_sum 'Na1 In2 Pd1 Pb1'
_cell_length_a 5.123
_cell_length_b 5.123
_cell_length_c 5.407
_cell_angle_alpha 90.00
_cell_angle_beta 90.00
_cell_angle_gamma 90.00
_space_group_name_H-M_alt 'P 4/m m m'
_space_group_IT_number 123
_space_group_name_Hall '-P 4 2'
loop_
_atom_site_label
_atom_site_fract_x
_atom_site_fract_y
_atom_site_fract_z
Na1 0.000 0.000 0.000
In1 0.000 0.500 0.500
Pd1 0.500 0.500 0.500
Pb1 0.500 0.500 0.000

# NaIn2Pd2, single point on PBEsol structure, DFT meta-GGA SCAN
# Uncorrected energy (eV/atom): -27.780
# Size of the total moment (μB/atom): 0.00
# Formation energy (meV per atom): -472
# V (Å³/f.u.): 94.3
data_NaIn2Pd2
_chemical_formula_sum 'Na2 In4 Pd4'
_cell_length_a 7.929
_cell_length_b 7.929
_cell_length_c 2.998
_cell_angle_alpha 90.00
_cell_angle_beta 90.00
_cell_angle_gamma 90.00
_space_group_name_H-M_alt 'P 4/m b m'
_space_group_IT_number 127
_space_group_name_Hall '-P 4 2ab'
loop_
_atom_site_label
_atom_site_fract_x
_atom_site_fract_y
_atom_site_fract_z
Na1 0.000 0.000 0.000
In1 0.140 0.360 0.000
Pd1 0.157 0.657 0.500

# Na2InPd2, single point on PBEsol structure, DFT meta-GGA SCAN
# Uncorrected energy (eV/atom): -21.762
# Size of the total moment (μB/atom): 0.00
# Formation energy (meV per atom): -289
# V (Å³/f.u.): 104.8
data_Na2InPd2
_chemical_formula_sum 'Na4 In2 Pd4'
_cell_length_a 6.681
_cell_length_b 6.681
_cell_length_c 4.694
_cell_angle_alpha 90.00
_cell_angle_beta 90.00
_cell_angle_gamma 90.00
_space_group_name_H-M_alt 'P 4/m b m'
_space_group_IT_number 127
_space_group_name_Hall '-P 4 2ab'
loop_
_atom_site_label
_atom_site_fract_x
_atom_site_fract_y
_atom_site_fract_z
Na1 0.167 0.333 0.000
In1 0.000 0.000 0.500
Pd1 0.137 0.637 0.500

- Look up the V of the sixth one.
  124.3 Å³/f.u.

- Among the records above, which one has the highest uncorrected energy?
  Na3InP2O8

- Among the records above, which one has the highest V?
  Na4Sc3InSi8O24